TlCoPt2 | Alexandria via LeMat-Bulk | PBE-GGA | optimized geometry; space-group type = Cm, No. 8; DOS(E_F) = 0.79 states/eV per atom; ΔE_f = 0.166 eV/atom
1.0
4.532 -1.456 0.000
4.532 1.456 0.000
-1.015 0.000 5.041
Tl Co Pt
1 1 2
Direct
0.000 0.000 0.000
0.253 0.253 0.698
0.514 0.514 0.525
0.758 0.758 0.262


Tl4CoPt | Alexandria via LeMat-Bulk | PBE-GGA | optimized geometry; space-group type = F-43m, No. 216; DOS(E_F) = 1.38 states/eV per atom; ΔE_f = 0.951 eV/atom
1.0
0.000 4.307 4.307
4.307 0.000 4.307
4.307 4.307 0.000
Tl Co Pt
4 1 1
Direct
0.125 0.125 0.125
0.125 0.125 0.624
0.125 0.624 0.125
0.624 0.125 0.125
0.750 0.750 0.750
0.500 0.500 0.500


TlCo2Pt2 | Alexandria via LeMat-Bulk | PBE-GGA | optimized geometry; space-group type = P4/mbm, No. 127; DOS(E_F) = 1.07 states/eV per atom; ΔE_f = 0.169 eV/atom
1.0
7.505 0.000 0.000
0.000 7.505 0.000
0.000 0.000 2.813
Tl Co Pt
2 4 4
Direct
0.000 0.000 0.000
0.500 0.500 0.000
0.117 0.383 0.000
0.383 0.883 0.000
0.617 0.117 0.000
0.883 0.617 0.000
0.173 0.673 0.500
0.327 0.173 0.500
0.673 0.827 0.500
0.827 0.327 0.500


TlCoPt2 | Alexandria via LeMat-Bulk | PBE-GGA | optimized geometry; space-group type = F-43m, No. 216; DOS(E_F) = 1.46 states/eV per atom; ΔE_f = 0.214 eV/atom
1.0
0.000 3.200 3.200
3.200 0.000 3.200
3.200 3.200 0.000
Tl Co Pt
1 1 2
Direct
0.000 0.000 0.000
0.750 0.750 0.750
0.250 0.250 0.250
0.500 0.500 0.500


TlCoPt2 | Alexandria via LeMat-Bulk | PBE-GGA | optimized geometry; space-group type = C2/m, No. 12; DOS(E_F) = 1.14 states/eV per atom; ΔE_f = 0.180 eV/atom
1.0
2.847 -3.944 0.000
2.847 3.944 0.000
-0.010 0.000 2.923
Tl Co Pt
1 1 2
Direct
0.000 0.000 0.000
0.500 0.500 0.000
0.000 0.500 0.500
0.500 0.000 0.500


TlCo4Pt | Alexandria via LeMat-Bulk | PBE-GGA | optimized geometry; space-group type = F-43m, No. 216; DOS(E_F) = 1.63 states/eV per atom; ΔE_f = 0.259 eV/atom
1.0
0.000 3.447 3.447
3.447 0.000 3.447
3.447 3.447 0.000
Tl Co Pt
1 4 1
Direct
0.000 0.000 0.000
0.127 0.624 0.624
0.624 0.127 0.624
0.624 0.624 0.127
0.624 0.624 0.624
0.250 0.250 0.250


TlCoPt2 | Alexandria via LeMat-Bulk | PBE-GGA | optimized geometry; space-group type = I-42d, No. 122; DOS(E_F) = 1.13 states/eV per atom; ΔE_f = 0.366 eV/atom
1.0
-1.961 1.961 9.264
1.961 -1.961 9.264
1.961 1.961 -9.264
Tl Co Pt
2 2 4
Direct
0.000 0.000 0.000
0.750 0.250 0.500
0.250 0.750 0.500
0.500 0.500 0.000
0.145 0.625 0.020
0.375 0.395 0.520
0.605 0.125 0.980
0.875 0.855 0.480


TlCoPt2 | Alexandria via LeMat-Bulk | PBE-GGA | optimized geometry; space-group type = R-3m, No. 166; DOS(E_F) = 1.23 states/eV per atom; ΔE_f = 0.217 eV/atom
1.0
1.457 0.841 9.245
-1.457 0.841 9.245
0.000 -1.682 9.245
Tl Co Pt
1 1 2
Direct
0.000 0.000 0.000
0.500 0.500 0.500
0.239 0.239 0.239
0.761 0.761 0.761


TlCo3Pt | Alexandria via LeMat-Bulk | PBE-GGA | optimized geometry; space-group type = Pm-3m, No. 221; DOS(E_F) = 2.08 states/eV per atom; ΔE_f = 1.896 eV/atom
1.0
4.673 0.000 0.000
0.000 4.673 0.000
0.000 0.000 4.673
Tl Co Pt
1 3 1
Direct
0.000 0.000 0.000
0.000 0.000 0.500
0.000 0.500 0.000
0.500 0.000 0.000
0.500 0.500 0.500


TlCoPt3 | Alexandria via LeMat-Bulk | PBE-GGA | optimized geometry; space-group type = Pm-3m, No. 221; DOS(E_F) = 1.14 states/eV per atom; ΔE_f = 0.706 eV/atom
1.0
4.643 0.000 0.000
0.000 4.643 0.000
0.000 0.000 4.643
Tl Co Pt
1 1 3
Direct
0.000 0.000 0.000
0.500 0.500 0.500
0.000 0.500 0.500
0.500 0.000 0.500
0.500 0.500 0.000


TlCoPt2 | Alexandria via LeMat-Bulk | PBE-GGA | optimized geometry; space-group type = I-4m2, No. 119; DOS(E_F) = 0.96 states/eV per atom; ΔE_f = 0.157 eV/atom
1.0
-2.040 2.040 3.899
2.040 -2.040 3.899
2.040 2.040 -3.899
Tl Co Pt
1 1 2
Direct
0.000 0.000 0.000
0.250 0.750 0.500
0.500 0.500 0.000
0.750 0.250 0.500


TlCoPt2 | Alexandria via LeMat-Bulk | PBE-GGA | optimized geometry; space-group type = P4/mmm, No. 123; DOS(E_F) = 1.30 states/eV per atom; ΔE_f = 0.129 eV/atom
1.0
4.010 0.000 0.000
0.000 4.010 0.000
0.000 0.000 4.045
Tl Co Pt
1 1 2
Direct
0.000 0.000 0.000
0.500 0.500 0.000
0.000 0.500 0.500
0.500 0.000 0.500


TlCoPt4 | Alexandria via LeMat-Bulk | PBE-GGA | optimized geometry; space-group type = F-43m, No. 216; DOS(E_F) = 1.31 states/eV per atom; ΔE_f = 0.256 eV/atom
1.0
0.000 3.766 3.766
3.766 0.000 3.766
3.766 3.766 0.000
Tl Co Pt
1 1 4
Direct
0.000 0.000 0.000
0.250 0.250 0.250
0.126 0.625 0.625
0.625 0.126 0.625
0.625 0.625 0.126
0.625 0.625 0.625


TlCoPt2 | Alexandria via LeMat-Bulk | PBE-GGA | optimized geometry; space-group type = P4/mmm, No. 123; DOS(E_F) = 1.15 states/eV per atom; ΔE_f = 0.107 eV/atom
1.0
2.930 0.000 0.000
0.000 2.930 0.000
0.000 0.000 7.712
Tl Co Pt
1 1 2
Direct
0.000 0.000 0.000
0.000 0.000 0.500
0.500 0.500 0.289
0.500 0.500 0.711


TlCoPt2 | Alexandria via LeMat-Bulk | PBE-GGA | optimized geometry; space-group type = P4mm, No. 99; DOS(E_F) = 1.37 states/eV per atom; ΔE_f = 0.204 eV/atom
1.0
3.318 0.000 0.000
0.000 3.318 0.000
0.000 0.000 6.015
Tl Co Pt
1 1 2
Direct
0.000 0.000 0.000
0.500 0.500 0.281
0.000 0.000 0.468
0.500 0.500 0.730


TlCo2Pt2 | Alexandria via LeMat-Bulk | PBE-GGA | optimized geometry; space-group type = P4/mbm, No. 127; DOS(E_F) = 1.59 states/eV per atom; ΔE_f = 0.179 eV/atom
1.0
7.525 0.000 0.000
0.000 7.525 0.000
0.000 0.000 2.816
Tl Co Pt
2 4 4
Direct
0.000 0.000 0.000
0.500 0.500 0.000
0.164 0.336 0.500
0.336 0.836 0.500
0.664 0.164 0.500
0.836 0.664 0.500
0.131 0.631 0.000
0.369 0.131 0.000
0.631 0.869 0.000
0.869 0.369 0.000


TlCoPt2 | Alexandria via LeMat-Bulk | PBE-GGA | optimized geometry; space-group type = Pmmm, No. 47; DOS(E_F) = 1.16 states/eV per atom; ΔE_f = 0.126 eV/atom
1.0
2.928 0.000 0.000
0.000 3.807 0.000
0.000 0.000 5.886
Tl Co Pt
1 1 2
Direct
0.000 0.000 0.000
0.000 0.000 0.500
0.500 0.500 0.275
0.500 0.500 0.725


TlCo2Pt2 | Alexandria via LeMat-Bulk | PBE-GGA | optimized geometry; space-group type = I4/mmm, No. 139; DOS(E_F) = 0.82 states/eV per atom; ΔE_f = 0.247 eV/atom
1.0
-1.921 1.921 5.651
1.921 -1.921 5.651
1.921 1.921 -5.651
Tl Co Pt
1 2 2
Direct
0.000 0.000 0.000
0.400 0.400 0.000
0.600 0.600 0.000
0.250 0.750 0.500
0.750 0.250 0.500


Tm8Co2Pt | Alexandria via LeMat-Bulk | PBE-GGA | optimized geometry; space-group type = Cm, No. 8; DOS(E_F) = 1.00 states/eV per atom; ΔE_f = -0.290 eV/atom
1.0
4.086 -6.105 0.000
4.086 6.105 0.000
-1.723 0.000 5.477
Tm Co Pt
8 2 1
Direct
0.000 0.000 0.000
0.024 0.289 0.595
0.143 0.587 0.187
0.289 0.024 0.595
0.437 0.702 0.785
0.587 0.143 0.187
0.702 0.437 0.785
0.733 0.733 0.376
0.052 0.673 0.686
0.673 0.052 0.686
0.368 0.368 0.036


Tm6Co2Pt | Alexandria via LeMat-Bulk | PBE-GGA | optimized geometry; space-group type = P2_1/c, No. 14; DOS(E_F) = 0.77 states/eV per atom; ΔE_f = -0.364 eV/atom
1.0
6.403 0.000 0.000
0.000 7.109 0.000
-6.121 0.000 9.575
Tm Co Pt
12 4 2
Direct
0.076 0.060 0.239
0.076 0.440 0.739
0.236 0.676 0.086
0.236 0.824 0.586
0.385 0.162 0.066
0.385 0.338 0.566
0.615 0.662 0.434
0.615 0.838 0.934
0.764 0.176 0.414
0.764 0.324 0.914
0.924 0.560 0.261
0.924 0.940 0.761
0.312 0.115 0.773
0.312 0.385 0.273
0.688 0.615 0.727
0.688 0.885 0.227
0.500 0.000 0.500
0.500 0.500 0.000